Density functional theory data (PBE) for a relaxed structure of CeEuNi.

Cell lengths 4.446, 4.446, 4.486 Å; angles 90.00, 90.00, 120.00 degrees
Element x y z (fractional)
Eu1 0.000 0.000 0.990
Ce1 0.667 0.333 0.455
Ni1 0.333 0.667 0.555

Values from the calculation:
**Distance to the lowest polymorph of the same formula**: 167 meV per atom
**Final energy**: -21.7 eV per cell
**ΔE_f**: 0.087 eV/atom